1.
Density functional theory data (PBE) for an optimized crystal structure of Ba2TbUS6.

Summary:
uncorrected formation energy: -1.883 eV/atom
electronic total energy: -63.354 eV per formula unit

a b c (Å): 7.2287 7.4789 12.6328
angles (deg): 90.00 124.86 90.00
Space group P2_1/c (No. 14)
Unique sites:
Ba 0.2344 0.0599 0.2504 x4
Tb 0.5000 0.0000 0.0000 x2
U 0.0000 0.0000 0.5000 x2
S 0.1535 0.2111 0.9554 x4
S 0.2472 0.6998 0.9570 x4
S 0.3274 0.0190 0.7444 x4

2.
Density functional theory data (PBE) for an optimized crystal structure of BaTbY4S8.

Summary:
uncorrected formation energy: -1.975 eV/atom
electronic total energy: -93.077 eV per formula unit

a b c (Å): 8.2533 8.2533 20.2487
angles (deg): 90.00 90.00 120.00
Space group R3m (No. 160, hexagonal axes)
Unique sites:
Ba 0.0000 0.0000 0.0000 x3
Tb 0.0000 0.0000 0.6271 x3
Y 0.0000 0.0000 0.2503 x3
Y 0.1689 0.3378 0.4580 x9
S 0.0000 0.0000 0.3826 x3
S 0.0000 0.0000 0.8572 x3
S 0.0474 0.5237 0.3815 x9
S 0.1762 0.3523 0.2060 x9

3.
Density functional theory data (PBE) for an optimized crystal structure of Ba2TbYS4.

Summary:
uncorrected formation energy: -2.015 eV/atom
electronic total energy: -47.566 eV per formula unit

a b c (Å): 7.1386 4.1346 7.5254
angles (deg): 90.00 108.55 90.00
Space group P2/m (No. 10)
Unique sites:
Ba 0.0000 0.0000 0.0000 x1
Ba 0.5000 0.5000 0.0000 x1
Tb 0.0000 0.5000 0.5000 x1
Y 0.5000 0.0000 0.5000 x1
S 0.2373 0.0000 0.7099 x2
S 0.2636 0.5000 0.2902 x2

4.
Density functional theory data (PBE) for an optimized crystal structure of BaTb2ZnS5.

Summary:
uncorrected formation energy: -1.774 eV/atom
electronic total energy: -49.062 eV per formula unit

a b c (Å): 7.7426 7.7426 13.6104
angles (deg): 90.00 90.00 90.00
Space group I4/mcm (No. 140)
Unique sites:
Ba 0.0000 0.0000 0.2500 x4
Tb 0.1615 0.3385 0.0000 x8
Zn 0.0000 0.5000 0.2500 x4
S 0.0000 0.0000 0.0000 x4
S 0.1484 0.3516 0.3701 x16

5.
Density functional theory data (PBE) for an optimized crystal structure of Ba2TbZnS5.

Summary:
uncorrected formation energy: -1.605 eV/atom
electronic total energy: -44.833 eV per formula unit

a b c (Å): 4.1290 18.0540 12.8834
angles (deg): 90.00 90.00 90.00
Space group Cmc2_1 (No. 36)
Unique sites:
Ba 0.0000 0.1180 0.0000 x4
Ba 0.0000 0.1278 0.6378 x4
Tb 0.0000 0.1998 0.3309 x4
Zn 0.0000 0.4438 0.7440 x4
S 0.0000 0.0422 0.3356 x4
S 0.0000 0.3001 0.9722 x4
S 0.0000 0.3143 0.6849 x4
S 0.0000 0.3473 0.3214 x4
S 0.0000 0.4979 0.0852 x4

6.
Density functional theory data (PBE) for an optimized crystal structure of BaTc3S.

Summary:
uncorrected formation energy: 0.614 eV/atom
electronic total energy: -34.077 eV per formula unit

a b c (Å): 4.6024 4.6024 4.6024
angles (deg): 90.00 90.00 90.00
Space group Pm-3m (No. 221)
Unique sites:
Ba 0.0000 0.0000 0.0000 x1
Tc 0.0000 0.5000 0.5000 x3
S 0.5000 0.5000 0.5000 x1

7.
Density functional theory data (PBE) for an optimized crystal structure of BaTc2S2.

Summary:
uncorrected formation energy: 0.144 eV/atom
electronic total energy: -30.191 eV per formula unit

a b c (Å): 8.0179 8.0179 3.0747
angles (deg): 90.00 90.00 90.00
Space group P4/mbm (No. 127)
Unique sites:
Ba 0.0000 0.0000 0.0000 x2
Tc 0.1126 0.3874 0.5000 x4
S 0.1272 0.6272 0.0000 x4

8.
Density functional theory data (PBE) for an optimized crystal structure of BaTc2S2.

Summary:
uncorrected formation energy: -0.737 eV/atom
electronic total energy: -34.597 eV per formula unit

a b c (Å): 4.0793 4.0793 12.1261
angles (deg): 90.00 90.00 90.00
Space group I4/mmm (No. 139)
Unique sites:
Ba 0.0000 0.0000 0.0000 x2
Tc 0.0000 0.5000 0.2500 x4
S 0.0000 0.0000 0.3467 x4

9.
Density functional theory data (PBE) for an optimized crystal structure of BaTc3S.

Summary:
uncorrected formation energy: 3.100 eV/atom
electronic total energy: -21.648 eV per formula unit

a b c (Å): 5.1963 5.1963 5.1963
angles (deg): 90.00 90.00 90.00
Space group Pm-3m (No. 221)
Unique sites:
Ba 0.0000 0.0000 0.0000 x1
Tc 0.0000 0.0000 0.5000 x3
S 0.5000 0.5000 0.5000 x1

10.
Density functional theory data (PBE) for an optimized crystal structure of Ba3TcS.

Summary:
uncorrected formation energy: 0.022 eV/atom
electronic total energy: -20.151 eV per formula unit

a b c (Å): 5.7369 5.7369 5.7369
angles (deg): 90.00 90.00 90.00
Space group Pm-3m (No. 221)
Unique sites:
Ba 0.0000 0.0000 0.5000 x3
Tc 0.0000 0.0000 0.0000 x1
S 0.5000 0.5000 0.5000 x1

11.
Density functional theory data (PBE) for an optimized crystal structure of BaTc2S.

Summary:
uncorrected formation energy: 0.155 eV/atom
electronic total energy: -26.161 eV per formula unit

a b c (Å): 4.8364 4.8364 16.7286
angles (deg): 90.00 90.00 90.00
Space group I-42d (No. 122)
Unique sites:
Ba 0.0000 0.0000 0.0000 x4
Tc 0.0091 0.7500 0.6250 x8
S 0.0000 0.0000 0.5000 x4

12.
Density functional theory data (PBE) for an optimized crystal structure of BaTiTc2S.

Summary:
uncorrected formation energy: 2.653 eV/atom
electronic total energy: -21.413 eV per formula unit

a b c (Å): 5.0291 5.0291 5.1880
angles (deg): 90.00 90.00 90.00
Space group P4/mmm (No. 123)
Unique sites:
Ba 0.0000 0.0000 0.0000 x1
Ti 0.0000 0.0000 0.5000 x1
Tc 0.0000 0.5000 0.0000 x2
S 0.5000 0.5000 0.5000 x1

What is the uncorrected formation energy in the tenth record?
0.022 eV/atom

Please write out number 7 again, unchanged.
Density functional theory data (PBE) for an optimized crystal structure of BaTc2S2.

Summary:
uncorrected formation energy: 0.144 eV/atom
electronic total energy: -30.191 eV per formula unit

a b c (Å): 8.0179 8.0179 3.0747
angles (deg): 90.00 90.00 90.00
Space group P4/mbm (No. 127)
Unique sites:
Ba 0.0000 0.0000 0.0000 x2
Tc 0.1126 0.3874 0.5000 x4
S 0.1272 0.6272 0.0000 x4

Please write out number 10 again, unchanged.
Density functional theory data (PBE) for an optimized crystal structure of Ba3TcS.

Summary:
uncorrected formation energy: 0.022 eV/atom
electronic total energy: -20.151 eV per formula unit

a b c (Å): 5.7369 5.7369 5.7369
angles (deg): 90.00 90.00 90.00
Space group Pm-3m (No. 221)
Unique sites:
Ba 0.0000 0.0000 0.5000 x3
Tc 0.0000 0.0000 0.0000 x1
S 0.5000 0.5000 0.5000 x1

uncorrected formation energy of number 9 (BaTc3S)?
3.100 eV/atom